Entry 1:
Here is a relaxed In2NiCl crystal from the Alexandria database. Energies are from PBE.

Output
**Polymorph energy (0 for the lowest one)**: 214 meV per atom
**Fermi-level density of states**: 3.7 states/eV per cell
**Uncorrected formation energy**: -42 meV/atom
**Space group**: I-42d
**Total energy**: -13.274 eV per formula unit
**Crystal system**: tetragonal

Unit cell a=7.4569 b=7.4569 c=7.4569 alpha=129.20 beta=129.20 gamma=74.69
With the nearest neighbours (Å) after each atom.
Fractional coordinates of all 8 atoms:
In1 0.0615 0.6250 0.9365  2 Ni 2.49
In2 0.3750 0.3115 0.4365  2 Ni 2.49
In3 0.6885 0.1250 0.0635  2 Ni 2.49
In4 0.8750 0.9385 0.5635  2 Ni 2.49
Ni1 0.0000 0.0000 0.0000  4 In 2.49
Ni2 0.7500 0.2500 0.5000  4 In 2.49
Cl1 0.2500 0.7500 0.5000  4 In 2.96
Cl2 0.5000 0.5000 0.0000  4 In 2.96

---

Entry 2:
Here is a relaxed CaRe2As crystal from the Alexandria database. Energies are from PBE.

Output
**Fermi-level density of states**: 2.9 states/eV per cell
**Formation energy**: 0.64 eV/atom
**Space group**: R-3m
**Total energy**: -28.970 eV per formula unit
**Crystal system**: trigonal

Unit cell a=8.9822 b=8.9822 c=8.9822 alpha=19.52 beta=19.52 gamma=19.52
With the nearest neighbours (Å) after each atom.
Fractional coordinates of all 4 atoms:
Ca1 0.0000 0.0000 0.0000  6 Ca 3.05, 6 Re 3.11
Re1 0.2365 0.2365 0.2365  3 As 2.55
Re2 0.7635 0.7635 0.7635  3 As 2.55
As1 0.5000 0.5000 0.5000  6 Re 2.55

---

Entry 3:
Here is a relaxed PuTaRhO6 crystal from the Alexandria database. Energies are from PBE.

Output
**Fermi-level density of states**: 13.9 states/eV per cell
**Uncorrected formation energy**: -2109 meV/atom
**Space group**: P-31c
**Total energy**: -82.262 eV per formula unit
**Crystal system**: trigonal

Unit cell a=5.4495 b=5.4495 c=8.6513 alpha=90.00 beta=90.00 gamma=120.00
With the nearest neighbours (Å) after each atom.
Fractional coordinates of all 18 atoms:
Pu1 0.3333 0.6667 0.2500  6 O 2.21
Pu2 0.6667 0.3333 0.7500  6 O 2.21
Ta1 0.3333 0.6667 0.7500  6 O 2.01
Ta2 0.6667 0.3333 0.2500  6 O 2.01
Rh1 0.0000 0.0000 0.0000  6 O 2.12
Rh2 0.0000 0.0000 0.5000  6 O 2.12
O1 0.0282 0.3470 0.6261  1 Ta 2.01, 1 Rh 2.12, 1 Pu 2.21
O2 0.0282 0.6813 0.8739  1 Ta 2.01, 1 Rh 2.12, 1 Pu 2.21
O3 0.3187 0.3470 0.8739  1 Ta 2.01, 1 Rh 2.12, 1 Pu 2.21
O4 0.3187 0.9718 0.6261  1 Ta 2.01, 1 Rh 2.12, 1 Pu 2.21
O5 0.3470 0.0282 0.1261  1 Ta 2.01, 1 Rh 2.12, 1 Pu 2.21
O6 0.3470 0.3187 0.3739  1 Ta 2.01, 1 Rh 2.12, 1 Pu 2.21
O7 0.6530 0.6813 0.6261  1 Ta 2.01, 1 Rh 2.12, 1 Pu 2.21
O8 0.6530 0.9718 0.8739  1 Ta 2.01, 1 Rh 2.12, 1 Pu 2.21
O9 0.6813 0.0282 0.3739  1 Ta 2.01, 1 Rh 2.12, 1 Pu 2.21
O10 0.6813 0.6530 0.1261  1 Ta 2.01, 1 Rh 2.12, 1 Pu 2.21
O11 0.9718 0.3187 0.1261  1 Ta 2.01, 1 Rh 2.12, 1 Pu 2.21
O12 0.9718 0.6530 0.3739  1 Ta 2.01, 1 Rh 2.12, 1 Pu 2.21

---

Entry 4:
Here is a relaxed Os2Pt2Rh15 crystal from the Alexandria database. Energies are from PBE.

Output
**Fermi-level density of states**: 28.3 states/eV per cell
**Formation energy**: 0.41 eV/atom
**Space group**: R-3m
**Total energy**: -137.063 eV per formula unit
**Crystal system**: trigonal

Unit cell a=6.7549 b=6.7549 c=6.7549 alpha=80.49 beta=80.49 gamma=80.49
With the nearest neighbours (Å) after each atom.
Fractional coordinates of all 19 atoms:
Os1 0.0868 0.0868 0.0868  1 Os 2.34
Os2 0.9132 0.9132 0.9132  1 Os 2.34
Pt1 0.2923 0.2923 0.2923  1 Os 2.77, 12 Rh 2.94-3.05
Pt2 0.7077 0.7077 0.7077  1 Os 2.77, 12 Rh 2.94-3.05
Rh1 0.0000 0.0000 0.5000  8 Rh 2.52-2.69, 2 Os 2.74
Rh2 0.0000 0.3391 0.6609  9 Rh 2.67-2.96, 2 Pt 2.94
Rh3 0.0000 0.5000 0.0000  8 Rh 2.52-2.69, 2 Os 2.74
Rh4 0.0000 0.6609 0.3391  9 Rh 2.67-2.96, 2 Pt 2.94
Rh5 0.1687 0.6684 0.6684  8 Rh 2.52-2.67, 1 Os 2.73
Rh6 0.3316 0.3316 0.8313  8 Rh 2.52-2.67, 1 Os 2.73
Rh7 0.3316 0.8313 0.3316  8 Rh 2.52-2.67, 1 Os 2.73
Rh8 0.3391 0.0000 0.6609  9 Rh 2.67-2.96, 2 Pt 2.94
Rh9 0.3391 0.6609 0.0000  9 Rh 2.67-2.96, 2 Pt 2.94
Rh10 0.5000 0.0000 0.0000  8 Rh 2.52-2.69, 2 Os 2.74
Rh11 0.6609 0.0000 0.3391  9 Rh 2.67-2.96, 2 Pt 2.94
Rh12 0.6609 0.3391 0.0000  9 Rh 2.67-2.96, 2 Pt 2.94
Rh13 0.6684 0.1687 0.6684  8 Rh 2.52-2.67, 1 Os 2.73
Rh14 0.6684 0.6684 0.1687  8 Rh 2.52-2.67, 1 Os 2.73
Rh15 0.8313 0.3316 0.3316  8 Rh 2.52-2.67, 1 Os 2.73

---

Entry 5:
Here is a relaxed ZrSn2F8 crystal from the Alexandria database. Energies are from PBE.

Output
**Polymorph energy (0 for the lowest one)**: 74 meV per atom
**Fermi-level density of states**: 0.0 states/eV per cell
**Uncorrected formation energy**: -2856 meV/atom
**Space group**: C2/m
**Total energy**: -62.936 eV per formula unit
**Crystal system**: monoclinic

Unit cell a=8.1348 b=8.1348 c=5.6649 alpha=107.29 beta=107.29 gamma=27.67
With the nearest neighbours (Å) after each atom.
Fractional coordinates of all 11 atoms:
Zr1 0.0000 0.0000 0.0000  8 F 2.04-2.26
Sn1 0.3343 0.3343 0.3865  5 F 2.24-2.48
Sn2 0.6657 0.6657 0.6135  5 F 2.24-2.48
F1 0.1004 0.1004 0.3545  1 Zr 2.14
F2 0.1127 0.1127 0.8956  1 Zr 2.04
F3 0.2678 0.2678 0.6829  3 Sn 2.24-2.48
F4 0.4956 0.4956 0.7930  2 Zr 2.26, 3 F 2.31-2.45
F5 0.5044 0.5044 0.2070  2 Zr 2.26, 3 F 2.31-2.45
F6 0.7322 0.7322 0.3171  3 Sn 2.24-2.48
F7 0.8873 0.8873 0.1044  1 Zr 2.04
F8 0.8996 0.8996 0.6455  1 Zr 2.14

---

Entry 6:
Here is a relaxed TeICl3 crystal from the Alexandria database. Energies are from PBE.

Output
**Polymorph energy (0 for the lowest one)**: 0 meV per atom
**Fermi-level density of states**: 0.0 states/eV per cell
**Uncorrected formation energy**: -463 meV/atom
**Space group**: P2/c
**Total energy**: -12.549 eV per formula unit
**Crystal system**: monoclinic

Unit cell a=8.3753 b=11.5037 c=12.4315 alpha=90.00 beta=95.19 gamma=90.00
With the nearest neighbours (Å) after each atom.
Fractional coordinates of all 20 atoms:
Te1 0.0883 0.1401 0.0986  3 Cl 2.37-2.59
Te2 0.0883 0.8599 0.5986  3 Cl 2.37-2.59
Te3 0.9117 0.1401 0.4014  3 Cl 2.37-2.59
Te4 0.9117 0.8599 0.9014  3 Cl 2.37-2.59
I1 0.0800 0.3797 0.0806  1 Te 2.77
I2 0.0800 0.6203 0.5806  1 Te 2.77
I3 0.9200 0.3797 0.4194  1 Te 2.77
I4 0.9200 0.6203 0.9194  1 Te 2.77
Cl1 0.0548 0.1215 0.5915  1 Te 2.56
Cl2 0.0548 0.8785 0.0915  1 Te 2.56
Cl3 0.2145 0.1447 0.2965  1 Te 2.59
Cl4 0.2145 0.8553 0.7965  1 Te 2.59
Cl5 0.3456 0.1167 0.0367  1 Te 2.37
Cl6 0.3456 0.8833 0.5367  1 Te 2.37
Cl7 0.6544 0.1167 0.4633  1 Te 2.37
Cl8 0.6544 0.8833 0.9633  1 Te 2.37
Cl9 0.7855 0.1447 0.2035  1 Te 2.59
Cl10 0.7855 0.8553 0.7035  1 Te 2.59
Cl11 0.9452 0.1215 0.9085  1 Te 2.56
Cl12 0.9452 0.8785 0.4085  1 Te 2.56

---

Entry 7:
Here is a relaxed HoTlHg2Cl8 crystal from the Alexandria database. Energies are from PBE.

Output
**Fermi-level density of states**: 0.0 states/eV per cell
**Uncorrected formation energy**: -1199 meV/atom
**Space group**: P-1
**Total energy**: -36.707 eV per formula unit
**Crystal system**: triclinic

Unit cell a=6.7536 b=6.7726 c=8.9936 alpha=73.59 beta=82.00 gamma=87.19
With the nearest neighbours (Å) after each atom.
Fractional coordinates of all 12 atoms:
Ho1 0.0000 0.0000 0.0000  6 Cl 2.59-2.75
Tl1 0.0000 0.0000 0.5000  6 Cl 3.17-3.30
Hg1 0.4749 0.4624 0.7346  2 Cl 2.38-2.40
Hg2 0.5251 0.5376 0.2654  2 Cl 2.38-2.40
Cl1 0.1346 0.7445 0.2433  1 Ho 2.62, 1 Hg 2.93
Cl2 0.1837 0.7994 0.8145  1 Ho 2.59
Cl3 0.3307 0.2345 0.9773  1 Hg 2.40
Cl4 0.4008 0.2667 0.4877  1 Hg 2.38
Cl5 0.5992 0.7333 0.5123  1 Hg 2.38
Cl6 0.6693 0.7655 0.0227  1 Hg 2.40
Cl7 0.8163 0.2006 0.1855  1 Ho 2.59
Cl8 0.8654 0.2555 0.7567  1 Ho 2.62, 1 Hg 2.93